1.
Material: Sm2SnS4
Method: DFT, GGA-PBE
State: relaxed

Calculated values
**Crystal system**: monoclinic

Cell and atoms, written as CIF:
```
data_Sm2SnS4
_chemical_formula_sum 'Sm4 Sn2 S8'
_cell_length_a 15.020
_cell_length_b 4.090
_cell_length_c 7.110
_cell_angle_alpha 90.00
_cell_angle_beta 116.10
_cell_angle_gamma 90.00
_symmetry_space_group_name_H-M 'C 1 2/m 1'
_symmetry_Int_Tables_number 12
loop_
_symmetry_equiv_pos_as_xyz
'x,y,z'
'-x,-y,-z'
'-x,y,-z'
'x,-y,z'
'x+1/2,y+1/2,z'
'-x+1/2,-y+1/2,-z'
'-x+1/2,y+1/2,-z'
'x+1/2,-y+1/2,z'
loop_
_atom_site_label
_atom_site_fract_x
_atom_site_fract_y
_atom_site_fract_z
_atom_site_occupancy
Sm1 0.223 0.000 0.216 1
Sn1 0.000 0.500 0.500 1
S1 0.132 0.500 0.943 1
S2 0.145 0.000 0.507 1
```


2.
Material: Sm6SnS4
Method: DFT, GGA-PBE
State: relaxed

Calculated values
**Crystal system**: orthorhombic
**Density of states at the Fermi level**: 7.88 states/eV/f.u.

Cell and atoms, written as CIF:
```
data_Sm6SnS4
_chemical_formula_sum 'Sm24 Sn4 S16'
_cell_length_a 4.119
_cell_length_b 13.260
_cell_length_c 20.434
_cell_angle_alpha 90.00
_cell_angle_beta 90.00
_cell_angle_gamma 90.00
_symmetry_space_group_name_H-M 'C m c m'
_symmetry_Int_Tables_number 63
_symmetry_space_group_name_Hall '-C 2c 2'
loop_
_atom_site_label
_atom_site_fract_x
_atom_site_fract_y
_atom_site_fract_z
_atom_site_occupancy
Sm1 0.000 0.000 0.000 1
Sm2 0.000 0.163 0.250 1
Sm3 0.000 0.270 0.584 1
Sm4 0.000 0.461 0.159 1
Sn1 0.000 0.160 0.750 1
S1 0.000 0.096 0.123 1
S2 0.000 0.363 0.039 1
```


3.
Material: Sm3SnS6
Method: DFT, GGA-PBE
State: relaxed

Calculated values
**Crystal system**: orthorhombic
**Density of states at the Fermi level**: 1.61 states/eV/f.u.

Cell and atoms, written as CIF:
```
data_Sm3SnS6
_chemical_formula_sum 'Sm12 Sn4 S24'
_cell_length_a 10.879
_cell_length_b 13.511
_cell_length_c 6.810
_cell_angle_alpha 90.00
_cell_angle_beta 90.00
_cell_angle_gamma 90.00
_symmetry_space_group_name_H-M 'C m c 21'
_symmetry_Int_Tables_number 36
loop_
_symmetry_equiv_pos_as_xyz
'x,y,z'
'-x,-y,z+1/2'
'-x,y,z'
'x,-y,z+1/2'
'x+1/2,y+1/2,z'
'-x+1/2,-y+1/2,z+1/2'
'-x+1/2,y+1/2,z'
'x+1/2,-y+1/2,z+1/2'
loop_
_atom_site_label
_atom_site_fract_x
_atom_site_fract_y
_atom_site_fract_z
_atom_site_occupancy
Sm1 0.000 0.097 0.000 1
Sm2 0.187 0.398 0.100 1
Sn1 0.000 0.329 0.610 1
S1 0.000 0.269 0.250 1
S2 0.000 0.491 0.859 1
S3 0.164 0.029 0.298 1
S4 0.164 0.239 0.805 1
```


4.
Material: Sm2SnS
Method: DFT, GGA-PBE
State: relaxed

Calculated values
**Crystal system**: trigonal
**Density of states at the Fermi level**: 1.80 states/eV/f.u.

Cell and atoms, written as CIF:
```
data_Sm2SnS
_chemical_formula_sum 'Sm6 Sn3 S3'
_cell_length_a 3.9823
_cell_length_b 3.9823
_cell_length_c 23.3071
_cell_angle_alpha 90.00
_cell_angle_beta 90.00
_cell_angle_gamma 120.00
_symmetry_space_group_name_H-M 'R -3 m'
_symmetry_Int_Tables_number 166
_symmetry_space_group_name_Hall '-R 3 2"'
loop_
_atom_site_label
_atom_site_fract_x
_atom_site_fract_y
_atom_site_fract_z
_atom_site_occupancy
Sm1 0.0000 0.0000 0.2363 1
Sn1 0.0000 0.0000 0.0000 1
S1 0.0000 0.0000 0.5000 1
```


5.
Material: Sm2SnS
Method: DFT, GGA-PBE
State: relaxed

Calculated values
**Crystal system**: trigonal
**Density of states at the Fermi level**: 2.75 states/eV/f.u.

Cell and atoms, written as CIF:
```
data_Sm2SnS
_chemical_formula_sum 'Sm6 Sn3 S3'
_cell_length_a 3.8873
_cell_length_b 3.8873
_cell_length_c 24.4445
_cell_angle_alpha 90.00
_cell_angle_beta 90.00
_cell_angle_gamma 120.00
_symmetry_space_group_name_H-M 'R 3 m'
_symmetry_Int_Tables_number 160
_symmetry_space_group_name_Hall 'R 3 -2"'
loop_
_atom_site_label
_atom_site_fract_x
_atom_site_fract_y
_atom_site_fract_z
_atom_site_occupancy
Sm1 0.0000 0.0000 0.0000 1
Sm2 0.0000 0.0000 0.1971 1
Sn1 0.0000 0.0000 0.4312 1
S1 0.0000 0.0000 0.5993 1
```


6.
Material: SmSnS4
Method: DFT, GGA-PBE
State: relaxed

Calculated values
**Crystal system**: monoclinic
**Density of states at the Fermi level**: 2.99 states/eV/f.u.

Cell and atoms, written as CIF:
```
data_SmSnS4
_chemical_formula_sum 'Sm2 Sn2 S8'
_cell_length_a 6.020
_cell_length_b 6.920
_cell_length_c 6.985
_cell_angle_alpha 90.00
_cell_angle_beta 96.88
_cell_angle_gamma 90.00
_symmetry_space_group_name_H-M 'P 1 21/c 1'
_symmetry_Int_Tables_number 14
loop_
_symmetry_equiv_pos_as_xyz
'x,y,z'
'-x,-y,-z'
'-x,y+1/2,-z+1/2'
'x,-y+1/2,z+1/2'
loop_
_atom_site_label
_atom_site_fract_x
_atom_site_fract_y
_atom_site_fract_z
_atom_site_occupancy
Sm1 0.000 0.000 0.000 1
Sn1 0.500 0.000 0.500 1
S1 0.163 0.169 0.352 1
S2 0.306 0.712 0.257 1
```


7.
Material: Sm6SnS5
Method: DFT, GGA-PBE
State: relaxed

Calculated values
**Crystal system**: monoclinic
**Density of states at the Fermi level**: 4.55 states/eV/f.u.

Cell and atoms, written as CIF:
```
data_Sm6SnS5
_chemical_formula_sum 'Sm12 Sn2 S10'
_cell_length_a 7.090
_cell_length_b 12.284
_cell_length_c 7.114
_cell_angle_alpha 90.00
_cell_angle_beta 109.46
_cell_angle_gamma 90.00
_symmetry_space_group_name_H-M 'C 1 2/m 1'
_symmetry_Int_Tables_number 12
loop_
_symmetry_equiv_pos_as_xyz
'x,y,z'
'-x,-y,-z'
'-x,y,-z'
'x,-y,z'
'x+1/2,y+1/2,z'
'-x+1/2,-y+1/2,-z'
'-x+1/2,y+1/2,-z'
'x+1/2,-y+1/2,z'
loop_
_atom_site_label
_atom_site_fract_x
_atom_site_fract_y
_atom_site_fract_z
_atom_site_occupancy
Sm1 0.240 0.000 0.257 1
Sm2 0.241 0.173 0.740 1
Sn1 0.000 0.500 0.000 1
S1 0.000 0.000 0.500 1
S2 0.000 0.168 0.000 1
S3 0.000 0.338 0.500 1
```


8.
Material: Sm7SnS5
Method: DFT, GGA-PBE
State: relaxed

Calculated values
**Crystal system**: orthorhombic
**Density of states at the Fermi level**: 8.26 states/eV/f.u.

Cell and atoms, written as CIF:
```
data_Sm7SnS5
_chemical_formula_sum 'Sm28 Sn4 S20'
_cell_length_a 4.085
_cell_length_b 13.220
_cell_length_c 23.994
_cell_angle_alpha 90.00
_cell_angle_beta 90.00
_cell_angle_gamma 90.00
_symmetry_space_group_name_H-M 'C m c m'
_symmetry_Int_Tables_number 63
_symmetry_space_group_name_Hall '-C 2c 2'
loop_
_atom_site_label
_atom_site_fract_x
_atom_site_fract_y
_atom_site_fract_z
_atom_site_occupancy
Sm1 0.000 0.023 0.250 1
Sm2 0.000 0.136 0.536 1
Sm3 0.000 0.324 0.173 1
Sm4 0.000 0.407 0.611 1
Sn1 0.000 0.300 0.750 1
S1 0.000 0.043 0.640 1
S2 0.000 0.227 0.070 1
S3 0.000 0.500 0.000 1
```


9.
Material: Sm6Sn2Te3S
Method: DFT, GGA-PBE
State: relaxed

Calculated values
**Crystal system**: monoclinic
**Density of states at the Fermi level**: 4.82 states/eV/f.u.

Cell and atoms, written as CIF:
```
data_Sm6Sn2Te3S
_chemical_formula_sum 'Sm12 Sn4 Te6 S2'
_cell_length_a 19.249
_cell_length_b 4.384
_cell_length_c 8.848
_cell_angle_alpha 90.00
_cell_angle_beta 104.31
_cell_angle_gamma 90.00
_symmetry_space_group_name_H-M 'C 1 2/m 1'
_symmetry_Int_Tables_number 12
loop_
_symmetry_equiv_pos_as_xyz
'x,y,z'
'-x,-y,-z'
'-x,y,-z'
'x,-y,z'
'x+1/2,y+1/2,z'
'-x+1/2,-y+1/2,-z'
'-x+1/2,y+1/2,-z'
'x+1/2,-y+1/2,z'
loop_
_atom_site_label
_atom_site_fract_x
_atom_site_fract_y
_atom_site_fract_z
_atom_site_occupancy
Sm1 0.002 0.000 0.226 1
Sm2 0.156 0.500 0.083 1
Sm3 0.168 0.500 0.577 1
Sn1 0.166 0.000 0.330 1
Te1 0.000 0.500 0.500 1
Te2 0.169 0.000 0.835 1
S1 0.000 0.500 0.000 1
```


Taking the records one at a time from the top gives uncorrected energy values of -40.670, -66.813, -59.031, -22.830, -22.725, -29.896, -74.322, -79.718, -65.408 eV/f.u..
Taking the records one at a time from the top gives energy relative to the elements, uncorrected values of -1.531, -1.635, -1.611, -1.315, -1.289, -0.777, -1.781, -1.696, -1.295 eV per atom.